## NaCeIn2Br6 (PBE-GGA)

Data for NaCeIn2Br6 after structural relaxation.

abc: 8.0258 8.0258 20.2837
angles: 90.00 90.00 120.00
Space group R3 (No. 146, hexagonal axes)
Symmetry-distinct sites (fractional):
1 Na 0.0000 0.0000 0.0000 x3
2 Ce 0.0000 0.0000 0.4957 x3
3 In 0.0000 0.0000 0.2872 x3
4 In 0.0000 0.0000 0.7907 x3
5 Br 0.0765 0.3406 0.5706 x9
6 Br 0.0777 0.7197 0.0714 x9

Properties
Its calculated total energy is -3.5771 eV per atom. Its uncorrected formation energy is -29.987 kcal/mol of atoms.

***

## CeInPbBr6 (PBE-GGA)

Data for CeInPbBr6 after structural relaxation.

abc: 7.8466 7.8466 13.1538
angles: 90.00 90.00 120.00
Space group P-31c (No. 163)
Symmetry-distinct sites (fractional):
1 Ce 0.3333 0.6667 0.2500 x2
2 In 0.3333 0.6667 0.7500 x2
3 Pb 0.0000 0.0000 0.0000 x2
4 Br 0.0359 0.3509 0.1230 x12

Properties
Its calculated total energy is -3.7231 eV per atom. Its uncorrected formation energy is -28.416 kcal/mol of atoms.

***

## CeIn2PbBr8 (PBE-GGA)

Data for CeIn2PbBr8 after structural relaxation.

abc: 7.060 9.040 7.478
angles: 90.00 91.57 90.00
Space group P2/m (No. 10)
Symmetry-distinct sites (fractional):
1 Ce 0.000 0.000 0.000 x1
2 In 0.500 0.254 0.500 x2
3 Pb 0.000 0.500 0.000 x1
4 Br 0.225 0.233 0.856 x4
5 Br 0.227 0.000 0.310 x2
6 Br 0.263 0.500 0.326 x2

Properties
Its calculated total energy is -3.4807 eV per atom. Its uncorrected formation energy is -25.493 kcal/mol of atoms.

***

## RbCeInBr6 (PBE-GGA)

Data for RbCeInBr6 after structural relaxation.

abc: 7.456 7.456 14.158
angles: 90.00 90.00 90.00
Space group P4_2nm (No. 102)
Symmetry-distinct sites (fractional):
1 Rb 0.000 0.000 0.000 x2
2 Ce 0.000 0.000 0.663 x2
3 In 0.000 0.000 0.332 x2
4 Br 0.175 0.175 0.512 x4
5 Br 0.193 0.193 0.801 x4
6 Br 0.234 0.234 0.172 x4

Properties
Its calculated total energy is -3.6292 eV per atom. Its uncorrected formation energy is -33.273 kcal/mol of atoms.

***

## SrCeInBr6 (PBE-GGA)

Data for SrCeInBr6 after structural relaxation.

abc: 7.8159 7.8159 13.9977
angles: 90.00 90.00 120.00
Space group P-31c (No. 163)
Symmetry-distinct sites (fractional):
1 Sr 0.3333 0.6667 0.2500 x2
2 Ce 0.3333 0.6667 0.7500 x2
3 In 0.0000 0.0000 0.0000 x2
4 Br 0.0136 0.3680 0.6316 x12

Properties
Its calculated total energy is -3.9254 eV per atom. Its uncorrected formation energy is -38.274 kcal/mol of atoms.

***

## SrCeIn2Br8 (PBE-GGA)

Data for SrCeIn2Br8 after structural relaxation.

abc: 7.081 9.147 7.430
angles: 90.00 91.65 90.00
Space group P2/m (No. 10)
Symmetry-distinct sites (fractional):
1 Sr 0.000 0.000 0.000 x1
2 Ce 0.000 0.500 0.000 x1
3 In 0.500 0.247 0.500 x2
4 Br 0.223 0.500 0.314 x2
5 Br 0.225 0.268 0.858 x4
6 Br 0.266 0.000 0.330 x2

Properties
Its calculated total energy is -3.6057 eV per atom. Its uncorrected formation energy is -32.270 kcal/mol of atoms.

***

- What is the calculated total energy in the third record?
  -3.4807 eV per atom